# 1
# Ga4SnSb2Se PBE-GGA optimized geometry
data_Ga4SnSb2Se
_chemical_formula_sum 'Ga4 Sn1 Sb2 Se1'
_space_group_name_H-M_alt 'P 1'
_space_group_IT_number 1
_cell_length_a 7.534
_cell_length_b 7.534
_cell_length_c 7.534
_cell_angle_alpha 131.86
_cell_angle_beta 131.86
_cell_angle_gamma 70.45
loop_
_space_group_symop_operation_xyz
'x,y,z'
loop_
_atom_site_label
_atom_site_type_symbol
_atom_site_fract_x
_atom_site_fract_y
_atom_site_fract_z
Ga1 Ga 0.130 0.130 0.505
Ga2 Ga 0.375 0.870 0.000
Ga3 Ga 0.625 0.625 0.495
Ga4 Ga 0.870 0.375 0.000
Sn1 Sn 0.000 0.000 0.000
Sb1 Sb 0.250 0.750 0.500
Sb2 Sb 0.750 0.250 0.500
Se1 Se 0.500 0.500 0.000
# Raw formation energy in eV per atom: -0.19



# 2
# ThHIr PBE-GGA optimized geometry
data_ThHIr
_chemical_formula_sum 'Th1 H1 Ir1'
_space_group_name_H-M_alt 'P 1'
_space_group_IT_number 1
_cell_length_a 4.581
_cell_length_b 4.581
_cell_length_c 4.581
_cell_angle_alpha 128.55
_cell_angle_beta 128.55
_cell_angle_gamma 75.74
loop_
_space_group_symop_operation_xyz
'x,y,z'
loop_
_atom_site_label
_atom_site_type_symbol
_atom_site_fract_x
_atom_site_fract_y
_atom_site_fract_z
Th1 Th 0.000 0.000 0.000
H1 H 0.323 0.323 0.000
Ir1 Ir 0.551 0.551 0.000
# Relative energy among the computed polymorphs in meV per atom: 195



# 3
# PaBeCo5B2 PBE-GGA optimized geometry
data_PaBeCo5B2
_chemical_formula_sum 'Pa1 Be1 Co5 B2'
_space_group_name_H-M_alt 'P 1'
_space_group_IT_number 1
_cell_length_a 3.866
_cell_length_b 3.866
_cell_length_c 6.455
_cell_angle_alpha 90.00
_cell_angle_beta 90.00
_cell_angle_gamma 90.00
loop_
_space_group_symop_operation_xyz
'x,y,z'
loop_
_atom_site_label
_atom_site_type_symbol
_atom_site_fract_x
_atom_site_fract_y
_atom_site_fract_z
Pa1 Pa 0.000 0.000 0.000
Be1 Be 0.000 0.000 0.500
Co1 Co 0.000 0.500 0.292
Co2 Co 0.000 0.500 0.708
Co3 Co 0.500 0.000 0.292
Co4 Co 0.500 0.000 0.708
Co5 Co 0.500 0.500 0.000
B1 B 0.500 0.500 0.346
B2 B 0.500 0.500 0.654
# Formation enthalpy at 0 K in meV per atom: -231



# 4
# PrHoIn4 PBE-GGA optimized geometry
data_PrHoIn4
_chemical_formula_sum 'Pr1 Ho1 In4'
_space_group_name_H-M_alt 'P 1'
_space_group_IT_number 1
_cell_length_a 6.052
_cell_length_b 6.052
_cell_length_c 6.052
_cell_angle_alpha 60.00
_cell_angle_beta 60.00
_cell_angle_gamma 60.00
loop_
_space_group_symop_operation_xyz
'x,y,z'
loop_
_atom_site_label
_atom_site_type_symbol
_atom_site_fract_x
_atom_site_fract_y
_atom_site_fract_z
Pr1 Pr 0.000 0.000 0.000
Ho1 Ho 0.250 0.250 0.250
In1 In 0.125 0.625 0.625
In2 In 0.625 0.125 0.625
In3 In 0.625 0.625 0.125
In4 In 0.625 0.625 0.625
# Formation enthalpy at 0 K in meV per atom: -368
# Relative energy among the computed polymorphs in meV per atom: 64



# 5
# LaScTeN2 PBE-GGA optimized geometry
data_LaScTeN2
_chemical_formula_sum 'La1 Sc1 Te1 N2'
_space_group_name_H-M_alt 'P 1'
_space_group_IT_number 1
_cell_length_a 4.348
_cell_length_b 4.348
_cell_length_c 5.603
_cell_angle_alpha 90.00
_cell_angle_beta 90.00
_cell_angle_gamma 90.00
loop_
_space_group_symop_operation_xyz
'x,y,z'
loop_
_atom_site_label
_atom_site_type_symbol
_atom_site_fract_x
_atom_site_fract_y
_atom_site_fract_z
La1 La 0.000 0.000 0.000
Sc1 Sc 0.500 0.500 0.500
Te1 Te 0.500 0.500 0.000
N1 N 0.000 0.500 0.500
N2 N 0.500 0.000 0.500
# Raw formation energy in eV per atom: -0.27
# Relative energy among the computed polymorphs in meV per atom: 0



# 6
# Sm10Ga3Ge3 PBE-GGA optimized geometry
data_Sm10Ga3Ge3
_chemical_formula_sum 'Sm10 Ga3 Ge3'
_space_group_name_H-M_alt 'P 1'
_space_group_IT_number 1
_cell_length_a 8.716
_cell_length_b 8.716
_cell_length_c 6.751
_cell_angle_alpha 90.00
_cell_angle_beta 90.00
_cell_angle_gamma 120.00
loop_
_space_group_symop_operation_xyz
'x,y,z'
loop_
_atom_site_label
_atom_site_type_symbol
_atom_site_fract_x
_atom_site_fract_y
_atom_site_fract_z
Sm1 Sm 0.000 0.241 0.000
Sm2 Sm 0.000 0.753 0.500
Sm3 Sm 0.241 0.000 0.000
Sm4 Sm 0.247 0.247 0.500
Sm5 Sm 0.333 0.667 0.250
Sm6 Sm 0.333 0.667 0.750
Sm7 Sm 0.667 0.333 0.250
Sm8 Sm 0.667 0.333 0.750
Sm9 Sm 0.753 0.000 0.500
Sm10 Sm 0.759 0.759 0.000
Ga1 Ga 0.000 0.598 0.000
Ga2 Ga 0.402 0.402 0.000
Ga3 Ga 0.598 0.000 0.000
Ge1 Ge 0.000 0.394 0.500
Ge2 Ge 0.394 0.000 0.500
Ge3 Ge 0.606 0.606 0.500
# Formation enthalpy at 0 K in meV per atom: -583



# 7
# CrCdPt2 PBE-GGA optimized geometry
data_CrCdPt2
_chemical_formula_sum 'Cr1 Cd1 Pt2'
_space_group_name_H-M_alt 'P 1'
_space_group_IT_number 1
_cell_length_a 2.940
_cell_length_b 3.594
_cell_length_c 6.157
_cell_angle_alpha 90.00
_cell_angle_beta 90.00
_cell_angle_gamma 90.00
loop_
_space_group_symop_operation_xyz
'x,y,z'
loop_
_atom_site_label
_atom_site_type_symbol
_atom_site_fract_x
_atom_site_fract_y
_atom_site_fract_z
Cr1 Cr 0.000 0.000 0.000
Cd1 Cd 0.000 0.000 0.500
Pt1 Pt 0.500 0.500 0.226
Pt2 Pt 0.500 0.500 0.774
# Formation enthalpy at 0 K in meV per atom: -219



# 8
# Tb2EuSn PBE-GGA optimized geometry
data_Tb2EuSn
_chemical_formula_sum 'Tb2 Eu1 Sn1'
_space_group_name_H-M_alt 'P 1'
_space_group_IT_number 1
_cell_length_a 3.595
_cell_length_b 3.595
_cell_length_c 9.829
_cell_angle_alpha 90.00
_cell_angle_beta 90.00
_cell_angle_gamma 90.00
loop_
_space_group_symop_operation_xyz
'x,y,z'
loop_
_atom_site_label
_atom_site_type_symbol
_atom_site_fract_x
_atom_site_fract_y
_atom_site_fract_z
Tb1 Tb 0.000 0.000 0.208
Tb2 Tb 0.000 0.000 0.792
Eu1 Eu 0.500 0.500 0.500
Sn1 Sn 0.500 0.500 0.000
# Formation enthalpy at 0 K in meV per atom: -263
# Relative energy among the computed polymorphs in meV per atom: 121



| no. | total magnetization (μB per cell) |
| --- | --- |
| 1 | 0.0 |
| 2 | 0.0 |
| 3 | 0.0 |
| 4 | 0.0 |
| 5 | 0.4 |
| 6 | 0.0 |
| 7 | 3.3 |
| 8 | 7.4 |